Entry 1:
DFT (GGA-PBE) results for an optimized crystal structure of PrEuNiPt.

ΔH_f (0 K) in eV per atom: -0.56
Symmetry: F-43m, No. 216
Calculated volume in A^3/atom: 22.72
Energy in eV/atom: -7.276

a = 5.047 Å, b = 5.047 Å, c = 5.047 Å
α = 60.00°, β = 60.00°, γ = 60.00°
Each line ends with the local moment (μB).
Atoms (fractional coordinates):
1 Pr 0.500 0.500 0.500  0.05
2 Ni 0.250 0.250 0.250  -0.02
3 Pt 0.750 0.750 0.750  -0.02
4 Eu 0.000 0.000 0.000  6.77

Entry 2:
DFT (GGA-PBE) results for an optimized crystal structure of PrEuZnNi.

ΔH_f (0 K) in eV per atom: -0.18
Symmetry: F-43m, No. 216
Calculated volume in A^3/atom: 23.67
Energy in eV/atom: -5.703

a = 5.116 Å, b = 5.116 Å, c = 5.116 Å
α = 60.00°, β = 60.00°, γ = 60.00°
Each line ends with the local moment (μB).
Atoms (fractional coordinates):
1 Pr 0.500 0.500 0.500  0.02
2 Eu 0.000 0.000 0.000  6.79
3 Zn 0.750 0.750 0.750  0.01
4 Ni 0.250 0.250 0.250  -0.08

Entry 3:
DFT (GGA-PBE) results for an optimized crystal structure of Eu2NiPt.

ΔH_f (0 K) in eV per atom: -0.46
Symmetry: P4/mmm, No. 123
Calculated volume in A^3/atom: 22.52
Energy in eV/atom: -8.553

a = 3.588 Å, b = 5.010 Å, c = 5.010 Å
α = 90.00°, β = 90.00°, γ = 90.00°
Each line ends with the local moment (μB).
Atoms (fractional coordinates):
1 Ni 0.500 0.500 0.500  -0.25
2 Pt 0.500 0.000 0.000  -0.08
3 Eu 0.000 0.000 0.500  6.77
4 Eu 0.000 0.500 0.000  6.77

Entry 4:
DFT (GGA-PBE) results for an optimized crystal structure of EuNiPt.

ΔH_f (0 K) in eV per atom: -0.57
Symmetry: P-6m2, No. 187
Calculated volume in A^3/atom: 20.92
Energy in eV/atom: -7.933

a = 4.128 Å, b = 4.190 Å, c = 4.190 Å
α = 120.00°, β = 90.00°, γ = 90.00°
Each line ends with the local moment (μB).
Atoms (fractional coordinates):
1 Pt 0.167 0.000 0.000  -0.03
2 Eu 0.667 0.333 0.667  6.71
3 Ni 0.167 0.667 0.333  -0.03